Compound: PuGeAu2
Source: Alexandria via LeMat-Bulk
Functional: PBE
Structure: relaxed

Cell: 4.4145 4.4145 4.3726 Å, 90.00 90.00 90.00°
With the nearest neighbours (Å) after each atom.
Atoms (fractional coordinates):
Pu (0.0000, 0.0000, 0.0000)  8 Au 3.11, 4 Ge 3.12
Ge (0.5000, 0.5000, 0.0000)  8 Au 3.11, 4 Pu 3.12
Au (0.0000, 0.5000, 0.5000)  4 Ge 3.11, 4 Pu 3.11, 4 Au 3.12
Au (0.5000, 0.0000, 0.5000)  4 Ge 3.11, 4 Pu 3.11, 4 Au 3.12

Values from the calculation:
For the density of states at the Fermi level, the calculation gives 3.918 states/eV per atom. The value obtained for the formation energy is -5.0 kcal/mol of atoms.